(1)
VASP calculation (PBEsol) on a relaxed KH3Pb crystal. Values from VASP.

Cell and atoms, written as Quantum ESPRESSO input:
```
&SYSTEM
  ibrav = 0, nat = 5, ntyp = 3
/
ATOMIC_SPECIES
Pb 207.20 Pb.upf
H 1.01 H.upf
K 39.10 K.upf
CELL_PARAMETERS angstrom
-4.0374 1.7904 0.3125
-0.4255 -0.1910 -4.4030
-1.7670 -4.0450 0.3462
ATOMIC_POSITIONS crystal
Pb 0.0000 0.0000 0.0000
H 0.0000 0.5000 0.0000
H 0.0000 0.0000 0.5000
H 0.5000 0.0000 0.0000
K 0.5000 0.5000 0.5000
```

Values from the calculation:
Total energy ... -2.90 eV/atom
Size of the total moment ... 0.000 μB per atom
SG ... Pm-3m, No. 221

=====

(2)
VASP calculation (PBEsol) on a relaxed K2H4Pd crystal. Values from VASP.

Cell and atoms, written as Quantum ESPRESSO input:
```
&SYSTEM
  ibrav = 0, nat = 7, ntyp = 3
/
ATOMIC_SPECIES
H 1.01 H.upf
K 39.10 K.upf
Pd 106.42 Pd.upf
CELL_PARAMETERS angstrom
-0.2174 5.4706 0.5976
-2.1950 -3.0967 3.9905
4.9426 -2.4104 0.3035
ATOMIC_POSITIONS crystal
H 0.5916 0.7958 0.7958
H 0.4084 0.2042 0.2042
H 0.0000 0.7958 0.2042
H 0.0000 0.2042 0.7958
K 0.5000 0.2500 0.7500
K 0.5000 0.7500 0.2500
Pd 0.0000 0.0000 0.0000
```

Values from the calculation:
Total energy ... -3.35 eV/atom
Size of the total moment ... 0.000 μB per atom
SG ... I4/mmm, No. 139